MoPdS2N | meta-GGA SCAN | single point on PBEsol structure

Calculated values
The raw formation energy comes out at 0.336 eV/atom. Its space-group type is P4/mmm. The density of states at the Fermi level is 4.79 states/eV/cell.

a b c (Å): 3.714 4.709 4.709
angles (deg): 90.00 90.00 90.00
Fractional positions:
Pd 0.500 0.500 0.500
N 0.500 0.000 0.000
S 0.000 0.500 0.000
S 0.000 0.000 0.500
Mo 0.000 0.000 0.000


Te2MoPdN | meta-GGA SCAN | single point on PBEsol structure

Calculated values
The raw formation energy comes out at 0.918 eV/atom. Its space-group type is P4/mmm. The density of states at the Fermi level is 2.73 states/eV/cell.

a b c (Å): 3.618 5.361 5.361
angles (deg): 90.00 90.00 90.00
Site moments in Bohr magnetons follow the coordinates.
Fractional positions:
Te 0.000 0.500 0.000  -0.21
Te 0.000 0.000 0.500  -0.21
Pd 0.000 0.000 0.000  0.01
N 0.500 0.000 0.000  -0.02
Mo 0.500 0.500 0.500  3.53


Mo3PtN | meta-GGA SCAN | single point on PBEsol structure

Calculated values
The raw formation energy comes out at -0.301 eV/atom. Its space-group type is Pm-3m. The density of states at the Fermi level is 3.60 states/eV/cell.

a b c (Å): 4.053 4.053 4.053
angles (deg): 90.00 90.00 90.00
Fractional positions:
Mo 0.000 0.000 0.500
Mo 0.000 0.500 0.000
Mo 0.500 0.000 0.000
Pt 0.500 0.500 0.500
N 0.000 0.000 0.000


MoPt3N | meta-GGA SCAN | single point on PBEsol structure

Calculated values
The raw formation energy comes out at 0.728 eV/atom. Its space-group type is Pm-3m. The density of states at the Fermi level is 3.69 states/eV/cell.

a b c (Å): 4.142 4.142 4.142
angles (deg): 90.00 90.00 90.00
Site moments in Bohr magnetons follow the coordinates.
Fractional positions:
N 0.000 0.000 0.000  0.01
Pt 0.000 0.500 0.000  0.17
Pt 0.500 0.000 0.000  0.17
Pt 0.000 0.000 0.500  0.17
Mo 0.500 0.500 0.500  2.69


Calculated calculated volume (A^3/atom), listed in the same order as above: 16.5 20.8 13.3 14.2